{
  "formula": "Co2Bi2Sb",
  "functional": "GGA-PBE",
  "state": "relaxed",
  "total_magnetization_mub_per_fu": 2.16,
  "sg": "P4/mbm",
  "de_polymorph_ev_per_atom": 0.060,
  "energy_ev_per_atom": -4.845,
  "lattice": [[-4.7805, 2.4089, 4.4355], [3.3904, -2.9933, 5.2797], [2.3439, 3.6318, 0.5538]],
  "species": ["Co", "Bi", "Sb", "Co", "Sb", "Bi", "Co", "Bi", "Co", "Bi"],
  "fractional_positions": [[0.8782, 0.6218, 0.0000], [0.3338, 0.1662, 0.5000], [0.0000, 0.0000, 0.0000], [0.6218, 0.1218, 0.0000], [0.5000, 0.5000, 0.0000], [0.1662, 0.6662, 0.5000], [0.1218, 0.3782, 0.0000], [0.8338, 0.3338, 0.5000], [0.3782, 0.8782, 0.0000], [0.6662, 0.8338, 0.5000]]
}